PbI3Br9 PBE optimized geometry; uncorrected energy = -1.985 eV/atom; magnetization = 0.00 μB/f.u.; symmetry = Cc, No. 9; raw formation energy = -184 meV/atom
1.0
11.2452 -3.7587 0.0000
11.2452 3.7587 0.0000
-8.3831 0.0000 15.8810
Pb I Br
2 6 18
Direct
0.0072 0.9928 0.5000 Pb
0.9928 0.0072 0.0000 Pb
0.1257 0.3148 0.6200 I
0.1811 0.8110 0.2459 I
0.3148 0.1257 0.1200 I
0.5853 0.9670 0.8656 I
0.8110 0.1811 0.7459 I
0.9670 0.5853 0.3656 I
0.0415 0.4474 0.4918 Br
0.0680 0.7600 0.8593 Br
0.1133 0.7424 0.0753 Br
0.2206 0.5807 0.4579 Br
0.2619 0.4063 0.1972 Br
0.2757 0.8517 0.4161 Br
0.2860 0.8671 0.6384 Br
0.3734 0.8159 0.0413 Br
0.4063 0.2619 0.6972 Br
0.4474 0.0415 0.9918 Br
0.5807 0.2206 0.9579 Br
0.5955 0.7066 0.7717 Br
0.7066 0.5955 0.2717 Br
0.7424 0.1133 0.5753 Br
0.7600 0.0680 0.3593 Br
0.8159 0.3734 0.5413 Br
0.8517 0.2757 0.9161 Br
0.8671 0.2860 0.1384 Br